Entry 1:
A relaxed structure of Ac4ZnSn2, computed with PBE.

abc: 5.6171 7.3166 7.4129
angles: 111.92 112.26 90.00
Element x y z (fractional)
Sn 0.7903 0.7338 0.5806
Sn 0.2097 0.2662 0.4194
Ac 0.8438 0.2426 0.6876
Ac 0.1562 0.7574 0.3124
Ac 0.5722 0.2936 0.1444
Ac 0.4278 0.7064 0.8556
Zn 0.0000 0.0000 0.0000

The value obtained for the formation energy is -0.331 eV per atom. The calculated volume comes out at 36.86 A^3/atom. As for the total magnetic moment: 0.00 μB/f.u.

***

Entry 2:
A relaxed structure of Ac3Zn4Sn2, computed with PBE.

abc: 4.6601 6.5000 9.1641
angles: 103.05 90.00 111.01
Element x y z (fractional)
Zn 0.2593 0.5186 0.9413
Zn 0.0347 0.0694 0.3786
Zn 0.7407 0.4814 0.0587
Zn 0.9653 0.9306 0.6214
Ac 0.3329 0.6658 0.3323
Ac 0.0000 0.0000 0.0000
Ac 0.6671 0.3342 0.6677
Sn 0.6144 0.2288 0.2779
Sn 0.3856 0.7712 0.7221

The value obtained for the formation energy is -0.491 eV per atom. The calculated volume comes out at 27.94 A^3/atom. As for the total magnetic moment: 0.00 μB/f.u.

***

Entry 3:
A relaxed structure of AcZn3Sn3, computed with PBE.

abc: 7.3592 7.3592 7.3592
angles: 90.00 90.00 90.00
Element x y z (fractional)
Zn 0.2500 0.5000 0.0000
Zn 0.5000 0.0000 0.7500
Zn 0.5000 0.0000 0.2500
Zn 0.0000 0.2500 0.5000
Zn 0.0000 0.7500 0.5000
Zn 0.7500 0.5000 0.0000
Ac 0.5000 0.5000 0.5000
Ac 0.0000 0.0000 0.0000
Sn 0.0000 0.5000 0.7500
Sn 0.5000 0.7500 0.0000
Sn 0.0000 0.5000 0.2500
Sn 0.2500 0.0000 0.5000
Sn 0.7500 0.0000 0.5000
Sn 0.5000 0.2500 0.0000

The value obtained for the formation energy is 0.036 eV per atom. The calculated volume comes out at 28.47 A^3/atom. As for the total magnetic moment: 0.00 μB/f.u.

***

Entry 4:
A relaxed structure of Ac6Zn2Sn, computed with PBE.

abc: 9.5361 9.5361 9.5361
angles: 103.22 110.94 114.45
Element x y z (fractional)
Ac 0.8109 0.7632 0.5741
Ac 0.8109 0.2368 0.0478
Ac 0.6939 0.3665 0.6725
Ac 0.1891 0.2368 0.4259
Ac 0.1891 0.7632 0.9522
Ac 0.3061 0.9786 0.6725
Ac 0.5343 0.7172 0.8170
Ac 0.9002 0.7172 0.1830
Ac 0.4657 0.2828 0.1830
Ac 0.6939 0.0214 0.3275
Ac 0.3061 0.6335 0.3275
Ac 0.0998 0.2828 0.8170
Sn 0.0000 0.0000 0.0000
Sn 0.0000 0.5000 0.5000
Zn 0.6565 0.0000 0.6565
Zn 0.3435 0.0000 0.3435
Zn 0.5000 0.6143 0.1143
Zn 0.5000 0.3857 0.8857

The value obtained for the formation energy is -0.239 eV per atom. The calculated volume comes out at 36.72 A^3/atom. As for the total magnetic moment: 0.00 μB/f.u.

***

Entry 5:
A relaxed structure of Ac12ZnSn6, computed with PBE.

abc: 9.5400 9.5400 9.5400
angles: 100.05 100.05 100.05
Element x y z (fractional)
Ac 0.4394 0.8119 0.5788
Ac 0.4212 0.5606 0.1881
Ac 0.0572 0.9654 0.3224
Ac 0.9428 0.0346 0.6776
Ac 0.0346 0.6776 0.9428
Ac 0.9654 0.3224 0.0572
Ac 0.5606 0.1881 0.4212
Ac 0.5788 0.4394 0.8119
Ac 0.3224 0.0572 0.9654
Ac 0.1881 0.4212 0.5606
Ac 0.6776 0.9428 0.0346
Ac 0.8119 0.5788 0.4394
Sn 0.3701 0.6885 0.8742
Sn 0.3115 0.1258 0.6299
Sn 0.8742 0.3701 0.6885
Sn 0.6885 0.8742 0.3701
Sn 0.1258 0.6299 0.3115
Sn 0.6299 0.3115 0.1258
Zn 0.0000 0.0000 0.0000

The value obtained for the formation energy is -0.342 eV per atom. The calculated volume comes out at 43.30 A^3/atom. As for the total magnetic moment: 0.32 μB/f.u.

***

Entry 6:
A relaxed structure of Ac5Zn4Sn, computed with PBE.

abc: 3.9221 3.9221 20.0312
angles: 90.00 90.00 90.00
Element x y z (fractional)
Ac 0.5000 0.5000 0.6947
Ac 0.5000 0.5000 0.8914
Ac 0.5000 0.5000 0.1086
Ac 0.5000 0.5000 0.5000
Ac 0.5000 0.5000 0.3053
Zn 0.0000 0.0000 0.5981
Zn 0.0000 0.0000 0.2106
Zn 0.0000 0.0000 0.7894
Zn 0.0000 0.0000 0.4019
Sn 0.0000 0.0000 0.0000

The value obtained for the formation energy is -0.316 eV per atom. The calculated volume comes out at 30.81 A^3/atom. As for the total magnetic moment: 0.00 μB/f.u.